# 1
10
Lattice="-3.4850 -2.7973 2.1198 4.2844 -4.4233 1.2067 -1.0926 4.5388 4.1933" Properties=species:S:1:pos:R:3 comment="LiMnGa3 | Alexandria via LeMat-Bulk | PBE-GGA | optimized geometry" total_magnetization_mub_per_fu=0.3 crystal_system=hexagonal final_energy_ev_per_atom=-4.0325 dos_ef_per_ev_cell=6.26 sg="P6_3/mmc (194)" e_above_lowest_polymorph_mev_per_atom=141 pbc="T T T"
Li -0.1705 0.8504 3.7272
Li -0.1227 -3.5323 3.7926
Mn 0.0000 0.0000 0.0000
Mn -1.7425 -1.3987 1.0599
Ga 2.3827 -3.4051 2.3091
Ga -2.6759 0.7232 5.2108
Ga 1.9186 -1.4763 4.0914
Ga -2.2118 -1.2055 3.4285
Ga 0.5618 -1.5254 1.7959
Ga -0.8550 -1.1565 5.7239

=====

# 2
10
Lattice="1.4298 -6.7593 0.0000 1.4298 6.7593 0.0000 0.0000 0.0000 4.7572" Properties=species:S:1:pos:R:3 comment="LiH3Pt | Alexandria via LeMat-Bulk | PBE-GGA | optimized geometry" total_magnetization_mub_per_fu=0.0 crystal_system=orthorhombic final_energy_ev_per_atom=-3.6924 dos_ef_per_ev_cell=1.37 sg="Cmcm (63)" pbc="T T T"
H 0.9986 3.6360 1.1893
H 1.8611 3.6360 1.1893
H 0.9986 -3.6360 3.5679
H 1.8611 -3.6360 3.5679
H 0.0000 0.0000 0.0000
H 0.0000 0.0000 2.3786
Pt 1.4298 5.4146 1.1893
Pt 1.4298 -5.4146 3.5679
Li 1.4298 1.0086 1.1893
Li 1.4298 -1.0086 3.5679

=====

# 3
8
Lattice="3.9310 0.0000 0.0000 0.0000 6.8018 -0.0647 0.0000 -2.2059 6.4345" Properties=species:S:1:pos:R:3 comment="TmSc3As4 | Alexandria via LeMat-Bulk | PBE-GGA | optimized geometry" total_magnetization_mub_per_fu=0.0 crystal_system=orthorhombic final_energy_ev_per_atom=-6.6580 dos_ef_per_ev_cell=1.04 sg="Cmmm (65)" pbc="T T T"
Tm 1.9655 0.0000 0.0000
Sc 0.0000 -1.1030 3.2173
Sc 1.9655 2.2980 3.1849
Sc 0.0000 3.4009 -0.0324
As 0.0000 1.1849 1.6422
As 1.9655 4.5149 1.5853
As 0.0000 3.4111 4.7276
As 1.9655 0.0810 4.7845